First-principles (GGA-PBE) data for a geometry-optimized LaPr5Bi4 structure, as listed in Alexandria.

Summary:
* DOS(E_F): 11.8 states/eV/f.u.
* total DFT energy (no corrections): -97.542 eV/cell
* formation energy from the elements: -0.44 eV/atom

Cell: 9.7900 11.1396 7.7026 Å, 90.00 90.00 90.00°
Closest atoms and distances in Å follow each position.
Space group Pmmn (No. 59, origin choice 2)
Inequivalent atoms, fractional coordinates:
La1 0.2500 0.2500 0.1458 [2 per cell]  4 Bi 3.17-3.22
Pr1 0.0147 0.0463 0.7368 [8 per cell]  3 Bi 3.20-3.25
Pr2 0.2500 0.7500 0.7863 [2 per cell]  4 Bi 3.12-3.18
Bi1 0.0197 0.2500 0.4436 [4 per cell]  3 Pr 3.18-3.20, 1 La 3.22
Bi2 0.2500 0.5209 0.0189 [4 per cell]  5 Pr 3.12-3.25, 1 La 3.17